1.
3
Lattice="3.564 0.000 0.000 -1.782 3.087 0.000 0.000 0.000 8.889" Properties=species:S:1:pos:R:3 comment="PBE-GGA CeEuTm, relaxed" ef_ev_per_fu=0.4 rho_g_cm3=7.8 total_magnetization_mub_per_cell=6.63 de_polymorph_kcal_per_mol_atoms=0.00 pbc="T T T"
Ce 0.000 0.000 0.000
Eu 1.782 1.029 3.074
Tm 0.000 2.058 6.128

=====

2.
6
Lattice="0.000 4.149 4.149 4.149 0.000 4.149 4.149 4.149 0.000" Properties=species:S:1:pos:R:3 comment="PBE-GGA ThCd4Ag, relaxed" ef_ev_per_fu=0.3 rho_g_cm3=9.2 total_magnetization_mub_per_cell=0.00 de_polymorph_kcal_per_mol_atoms=3.44 pbc="T T T"
Th 0.000 0.000 0.000
Cd 5.187 3.111 3.111
Cd 3.111 5.187 3.111
Cd 3.111 3.111 5.187
Cd 5.187 5.187 5.187
Ag 2.075 2.075 2.075

=====

3.
12
Lattice="5.794 0.000 0.000 0.000 4.889 0.000 -2.023 0.000 5.332" Properties=species:S:1:pos:R:3 comment="PBE-GGA TmRuO4, relaxed" rho_g_cm3=7.3 total_magnetization_mub_per_cell=4.50 de_polymorph_kcal_per_mol_atoms=1.34 formation_energy_uncorrected_mev_per_atom=-1981 pbc="T T T"
Tm 0.000 0.000 0.000
Tm -1.011 2.444 2.666
Ru 1.886 0.000 2.666
Ru 2.897 2.444 0.000
O 0.239 0.783 2.035
O -0.773 1.661 4.701
O 0.784 3.500 3.625
O 1.796 3.833 0.959
O 1.976 1.056 4.373
O 2.987 1.389 1.707
O 4.544 3.228 0.631
O 3.533 4.105 3.296

=====

4.
4
Lattice="4.198 -1.468 0.000 4.198 1.468 0.000 -1.718 0.000 3.982" Properties=species:S:1:pos:R:3 comment="PBE-GGA Be2MoRu, relaxed" ef_ev_per_fu=0.5 rho_g_cm3=7.3 total_magnetization_mub_per_cell=0.00 de_polymorph_kcal_per_mol_atoms=7.20 pbc="T T T"
Be 1.667 0.000 0.822
Be 5.010 0.000 3.160
Mo -0.859 0.000 1.991
Ru 4.198 0.000 0.000

=====

5.
10
Lattice="3.506 -5.880 0.000 3.506 5.880 0.000 0.000 0.000 4.669" Properties=species:S:1:pos:R:3 comment="PBE-GGA USiIr3, relaxed" rho_g_cm3=14.5 total_magnetization_mub_per_cell=0.00 formation_energy_uncorrected_mev_per_atom=162 pbc="T T T"
U 3.506 5.067 3.502
U 3.506 -5.067 1.167
Si 3.506 2.339 3.502
Si 3.506 -2.339 1.167
Ir 1.331 1.686 3.502
Ir 1.331 -1.686 1.167
Ir 3.506 0.000 0.000
Ir 3.506 0.000 2.335
Ir 5.681 1.686 3.502
Ir 5.681 -1.686 1.167

=====

6.
12
Lattice="3.490 -6.042 0.000 3.490 6.042 0.000 -2.326 0.000 6.578" Properties=species:S:1:pos:R:3 comment="PBE-GGA PmDy5P6, relaxed" ef_ev_per_fu=-19.2 rho_g_cm3=6.8 total_magnetization_mub_per_cell=0.00 pbc="T T T"
Pm 0.000 0.000 0.000
Dy 2.327 4.037 3.289
Dy 3.490 2.017 0.000
Dy 2.327 0.000 3.289
Dy 3.490 -2.017 0.000
Dy 2.327 -4.037 3.289
P 1.177 2.038 1.662
P 0.029 0.000 4.919
P 1.177 -2.038 1.662
P 3.476 2.038 4.915
P 4.625 0.000 1.659
P 3.476 -2.038 4.915